DFT (PBE-GGA) results for an optimized crystal structure of LuFeCuSn.

Cell and atoms, written as POSCAR:
```
LuFeCuSn
1.0
0.000 3.324 3.324
3.324 0.000 3.324
3.324 3.324 0.000
Lu Fe Cu Sn
1 1 1 1
Direct
0.000 0.000 0.000
0.750 0.750 0.750
0.500 0.500 0.500
0.250 0.250 0.250
```

Values from the calculation:
Its space-group type is F-43m, No. 216. The calculation puts the energy above the lowest structure with this stoichiometry at 0.2716 eV per atom. The value obtained for the electronic total energy is -20.0 eV/cell. The total magnetic moment is 2.39 μB per cell.

DFT (PBE-GGA) results for an optimized crystal structure of LuFeCuSn.

Cell and atoms, written as POSCAR:
```
LuFeCuSn
1.0
0.000 3.303 3.303
3.303 0.000 3.303
3.303 3.303 0.000
Lu Fe Cu Sn
1 1 1 1
Direct
0.000 0.000 0.000
0.500 0.500 0.500
0.750 0.750 0.750
0.250 0.250 0.250
```

Values from the calculation:
Its space-group type is F-43m, No. 216. The calculation puts the energy above the lowest structure with this stoichiometry at 0.1169 eV per atom. The value obtained for the electronic total energy is -20.6 eV/cell. The total magnetic moment is 2.48 μB per cell.

DFT (PBE-GGA) results for an optimized crystal structure of LuFeCuSn.

Cell and atoms, written as POSCAR:
```
LuFeCuSn
1.0
0.000 3.251 3.251
3.251 0.000 3.251
3.251 3.251 0.000
Lu Fe Cu Sn
1 1 1 1
Direct
0.000 0.000 0.000
0.250 0.250 0.250
0.750 0.750 0.750
0.500 0.500 0.500
```

Values from the calculation:
Its space-group type is F-43m, No. 216. The calculation puts the energy above the lowest structure with this stoichiometry at 0.0000 eV per atom. The value obtained for the electronic total energy is -21.1 eV/cell. The total magnetic moment is 1.74 μB per cell.

DFT (PBE-GGA) results for an optimized crystal structure of LuFeCuTe.

Cell and atoms, written as POSCAR:
```
LuFeCuTe
1.0
0.000 3.341 3.341
3.341 0.000 3.341
3.341 3.341 0.000
Lu Fe Cu Te
1 1 1 1
Direct
0.000 0.000 0.000
0.500 0.500 0.500
0.750 0.750 0.750
0.250 0.250 0.250
```

Values from the calculation:
Its space-group type is F-43m, No. 216. The calculation puts the energy above the lowest structure with this stoichiometry at 0.0000 eV per atom. The value obtained for the electronic total energy is -19.5 eV/cell. The total magnetic moment is 2.00 μB per cell.

DFT (PBE-GGA) results for an optimized crystal structure of LuFeCuTe.

Cell and atoms, written as POSCAR:
```
LuFeCuTe
1.0
0.000 3.374 3.374
3.374 0.000 3.374
3.374 3.374 0.000
Lu Fe Cu Te
1 1 1 1
Direct
0.000 0.000 0.000
0.750 0.750 0.750
0.500 0.500 0.500
0.250 0.250 0.250
```

Values from the calculation:
Its space-group type is F-43m, No. 216. The calculation puts the energy above the lowest structure with this stoichiometry at 0.1518 eV per atom. The value obtained for the electronic total energy is -18.9 eV/cell. The total magnetic moment is 2.01 μB per cell.

DFT (PBE-GGA) results for an optimized crystal structure of LuFeCuTe.

Cell and atoms, written as POSCAR:
```
LuFeCuTe
1.0
0.000 3.244 3.244
3.244 0.000 3.244
3.244 3.244 0.000
Lu Fe Cu Te
1 1 1 1
Direct
0.000 0.000 0.000
0.250 0.250 0.250
0.750 0.750 0.750
0.500 0.500 0.500
```

Values from the calculation:
Its space-group type is F-43m, No. 216. The calculation puts the energy above the lowest structure with this stoichiometry at 0.0049 eV per atom. The value obtained for the electronic total energy is -19.5 eV/cell. The total magnetic moment is 0.17 μB per cell.

The lowest electronic total energy belongs to which entry?
number 3